No. 1
The following is a DFT calculation (GGA-PBE) of FeSb2Pd after structural relaxation.

a = 3.2985 Å, b = 3.2985 Å, c = 27.4446 Å
α = 90.00°, β = 90.00°, γ = 120.00°
Space group R-3m (No. 166, hexagonal axes)
Asymmetric unit:
Fe: 0.0000 0.0000 0.0000 x3
Sb: 0.0000 0.0000 0.0923 x6
Pd: 0.0000 0.0000 0.5000 x3

As for the raw total energy: -20.58 eV per formula unit. As for the uncorrected formation energy: 0.331 eV per atom.


No. 2
The following is a DFT calculation (GGA-PBE) of LaScMn after structural relaxation.

a = 6.695 Å, b = 6.695 Å, c = 6.695 Å
α = 90.00°, β = 90.00°, γ = 90.00°
Space group F-43m (No. 216)
Asymmetric unit:
La: 0.000 0.000 0.000 x4
Sc: 0.000 0.000 0.500 x4
Mn: 0.250 0.250 0.250 x4

As for the raw total energy: -19.20 eV per formula unit. The value obtained for the polymorph energy (0 for the lowest one) is 210 meV/atom.